# 1
The following is a DFT calculation (PBE-GGA) of Pm3TlTc after structural relaxation.

The calculated total energy is -5.3316 eV/atom.

The structure belongs to space group Pm-3m (No. 221); the cell edges are 5.392, 5.392 and 5.392 Å and the angles 90.00°, 90.00° and 90.00°. The asymmetric unit holds Pm at (0.000, 0.000, 0.500), Tl at (0.500, 0.500, 0.500) and Tc at (0.000, 0.000, 0.000).

---

# 2
The following is a DFT calculation (PBE-GGA) of Ti2PC after structural relaxation.

The calculated total energy is -8.1526 eV/atom.

The structure belongs to space group R3m (No. 160, hexagonal axes); the cell edges are 3.2045, 3.2045 and 17.7342 Å and the angles 90.00°, 90.00° and 120.00°. The asymmetric unit holds Ti at (0.0000, 0.0000, 0.0000), Ti at (0.0000, 0.0000, 0.1474), P at (0.0000, 0.0000, 0.5735) and C at (0.0000, 0.0000, 0.7431).

---

# 3
The following is a DFT calculation (PBE-GGA) of Sc2TlVC after structural relaxation.

The calculated total energy is -7.0838 eV/atom.

The structure belongs to space group P4/mmm (No. 123); the cell edges are 4.583, 4.583 and 4.093 Å and the angles 90.00°, 90.00° and 90.00°. The asymmetric unit holds Sc at (0.000, 0.500, 0.000), Tl at (0.000, 0.000, 0.500), V at (0.500, 0.500, 0.500) and C at (0.500, 0.500, 0.000).

---

# 4
The following is a DFT calculation (PBE-GGA) of Mg2RhAu2 after structural relaxation.

The calculated total energy is -3.6582 eV/atom.

The structure belongs to space group P4/mbm (No. 127); the cell edges are 7.284, 7.284 and 3.283 Å and the angles 90.00°, 90.00° and 90.00°. The asymmetric unit holds Mg at (0.150, 0.350, 0.000), Rh at (0.000, 0.000, 0.000) and Au at (0.150, 0.650, 0.500).

---

# 5
The following is a DFT calculation (PBE-GGA) of SmDy3Y7 after structural relaxation.

The calculated total energy is -5.6531 eV/atom.

The structure belongs to space group P2/m (No. 10); the cell edges are 6.928, 5.560 and 9.997 Å and the angles 90.00°, 109.47° and 90.00°. The asymmetric unit holds Sm at (0.000, 0.000, 0.000), Dy at (0.278, 0.500, 0.497), Dy at (0.500, 0.000, 0.000), Y at (0.000, 0.000, 0.500), Y at (0.148, 0.500, 0.789), Y at (0.321, 0.500, 0.139) and Y at (0.423, 0.000, 0.331).

---

Computed formation enthalpy at 0 K, in the same sequence as the records: 6.30, -52.75, -39.51, -23.08, 13.94 kJ per mole of atoms.